# PBE MnGeS2, optimized geometry
# **E_form (uncorrected)**: -0.023 eV per atom
# **Polymorph energy (0 for the lowest one)**: 290 meV per atom
# **Fermi-level density of states**: 0.580 states/eV/atom
# **Spin magnetization**: 12.796 μB per cell
data_MnGeS2
_chemical_formula_sum 'Mn3 Ge3 S6'
_cell_length_a 3.815
_cell_length_b 3.815
_cell_length_c 21.731
_cell_angle_alpha 90.00
_cell_angle_beta 90.00
_cell_angle_gamma 120.00
_symmetry_space_group_name_H-M 'P 1'
_symmetry_Int_Tables_number 1
_symmetry_space_group_name_Hall 'P 1'
loop_
_atom_site_label
_atom_site_type_symbol
_atom_site_fract_x
_atom_site_fract_y
_atom_site_fract_z
Mn1 Mn 0.000 0.000 0.000
Mn2 Mn 0.333 0.667 0.667
Mn3 Mn 0.667 0.333 0.333
Ge1 Ge 0.000 0.000 0.500
Ge2 Ge 0.333 0.667 0.167
Ge3 Ge 0.667 0.333 0.833
S1 S 0.000 0.000 0.102
S2 S 0.000 0.000 0.898
S3 S 0.333 0.667 0.565
S4 S 0.333 0.667 0.769
S5 S 0.667 0.333 0.231
S6 S 0.667 0.333 0.435